# PBE DyTm2AlC, relaxed
# * formation enthalpy at 0 K: -430 meV per atom
data_DyTm2AlC
_cell_length_a 4.8006
_cell_length_b 4.8006
_cell_length_c 4.8837
_cell_angle_alpha 90.00
_cell_angle_beta 90.00
_cell_angle_gamma 90.00
_symmetry_space_group_name_H-M 'P 4/m m m'
_symmetry_Int_Tables_number 123
_symmetry_space_group_name_Hall '-P 4 2'
loop_
_atom_site_label
_atom_site_fract_x
_atom_site_fract_y
_atom_site_fract_z
Dy1 0.0000 0.0000 0.0000
Tm1 0.0000 0.5000 0.5000
Al1 0.5000 0.5000 0.0000
C1 0.0000 0.0000 0.5000


# PBE CeErTl, relaxed
# * excess energy over the best structure of this formula in the dataset: 282 meV per atom
# * formation enthalpy at 0 K: 73 meV per atom
data_CeErTl
_cell_length_a 5.4020
_cell_length_b 5.4020
_cell_length_c 3.2396
_cell_angle_alpha 90.00
_cell_angle_beta 90.00
_cell_angle_gamma 120.00
_symmetry_space_group_name_H-M 'P -6 m 2'
_symmetry_Int_Tables_number 187
_symmetry_space_group_name_Hall 'P -6 2'
loop_
_atom_site_label
_atom_site_fract_x
_atom_site_fract_y
_atom_site_fract_z
Ce1 0.0000 0.0000 0.0000
Er1 0.6667 0.3333 0.0000
Tl1 0.3333 0.6667 0.5000


Number 1: DFT total energy -5.73 eV/atom. Number 2: DFT total energy -4.21 eV/atom.